Computed, not measured: a relaxed Li2VFeP2H2O10 crystal at the PBE with a Hubbard U level of DFT.

excess energy over the best structure of this formula in the dataset = 0.046 kcal/mol of atoms
N(E_F) = 0.000 states/eV per cell

Structure (POSCAR):
```
Li2VFeP2H2O10
1.0
5.176 0.000 0.000
-0.746 5.369 0.000
-2.355 -2.409 6.592
Li V Fe P H O
2 1 1 2 2 10
Cartesian
0.202 1.330 2.151 Li
1.873 1.629 4.442 Li
1.411 -1.205 3.296 V
2.588 0.000 0.000 Fe
-1.079 0.180 4.821 P
3.154 2.780 1.771 P
-0.352 4.656 1.041 H
2.427 -1.696 5.551 H
-0.891 2.971 2.814 O
-1.447 1.506 5.534 O
-1.045 -1.021 5.793 O
1.187 -0.287 1.460 O
0.284 0.334 4.064 O
1.791 2.626 2.528 O
0.888 3.247 5.132 O
3.120 3.981 0.800 O
3.522 1.454 1.059 O
2.966 -0.011 3.778 O
```